Below is a relaxed structure of Ca2TiBS, with properties calculated at the PBE level.

a = 5.8143 Å, b = 5.8143 Å, c = 4.4537 Å
α = 90.00°, β = 90.00°, γ = 90.00°
Closest atoms and distances in Å follow each position.
Space group P4/mmm (No. 123)
Inequivalent atoms, fractional coordinates:
Ca  0.0000  0.5000  0.0000 (multiplicity 2)  2 Ti 2.91
Ti  0.0000  0.0000  0.0000 (multiplicity 1)  2 S 2.23
B  0.5000  0.5000  0.5000 (multiplicity 1)  8 Ca 3.66
S  0.0000  0.0000  0.5000 (multiplicity 1)  2 Ti 2.23

Calculated values
The value obtained for the excess energy over the best structure of this formula in the dataset is 361.2 meV per atom. For the formation energy from raw total energies, the calculation gives 4.25 eV/f.u.

Below is a relaxed structure of Ca2BSb, with properties calculated at the PBE level.

a = 7.9311 Å, b = 7.9311 Å, c = 6.5341 Å
α = 90.00°, β = 90.00°, γ = 90.00°
Closest atoms and distances in Å follow each position.
Space group I-42d (No. 122)
Inequivalent atoms, fractional coordinates:
Ca  0.1945  0.2500  0.1250 (multiplicity 8)  2 B 2.64
B  0.0000  0.0000  0.0000 (multiplicity 4)  4 Ca 2.64
Sb  0.0000  0.0000  0.5000 (multiplicity 4)  8 Ca 3.24-3.51, 2 B 3.27

Calculated values
The value obtained for the excess energy over the best structure of this formula in the dataset is 130.0 meV per atom. For the formation energy from raw total energies, the calculation gives 0.96 eV/f.u.

Below is a relaxed structure of Ca2BSb, with properties calculated at the PBE level.

a = 7.2714 Å, b = 7.2714 Å, c = 7.2714 Å
α = 90.00°, β = 90.00°, γ = 90.00°
Closest atoms and distances in Å follow each position.
Space group Fm-3m (No. 225)
Inequivalent atoms, fractional coordinates:
Ca  0.2500  0.2500  0.2500 (multiplicity 8)  4 Sb 3.15, 4 B 3.15
B  0.0000  0.0000  0.0000 (multiplicity 4)  8 Ca 3.15
Sb  0.0000  0.0000  0.5000 (multiplicity 4)  8 Ca 3.15

Calculated values
The value obtained for the excess energy over the best structure of this formula in the dataset is 0.0 meV per atom. For the formation energy from raw total energies, the calculation gives 0.44 eV/f.u.

Below is a relaxed structure of Ca3BSb, with properties calculated at the PBE level.

a = 5.1539 Å, b = 5.1539 Å, c = 5.1539 Å
α = 90.00°, β = 90.00°, γ = 90.00°
Closest atoms and distances in Å follow each position.
Space group Pm-3m (No. 221)
Inequivalent atoms, fractional coordinates:
Ca  0.0000  0.0000  0.5000 (multiplicity 3)  2 B 2.58
B  0.0000  0.0000  0.0000 (multiplicity 1)  6 Ca 2.58
Sb  0.5000  0.5000  0.5000 (multiplicity 1)  12 Ca 3.64

Calculated values
The value obtained for the excess energy over the best structure of this formula in the dataset is 0.0 meV per atom. For the formation energy from raw total energies, the calculation gives -1.07 eV/f.u.

Below is a relaxed structure of CaB2Sb, with properties calculated at the PBE level.

a = 6.8049 Å, b = 6.8049 Å, c = 6.3209 Å
α = 90.00°, β = 90.00°, γ = 90.00°
Closest atoms and distances in Å follow each position.
Space group I-42d (No. 122)
Inequivalent atoms, fractional coordinates:
Ca  0.0000  0.0000  0.0000 (multiplicity 4)  4 B 2.77
B  0.2014  0.2500  0.6250 (multiplicity 8)  2 Sb 2.32
Sb  0.0000  0.0000  0.5000 (multiplicity 4)  4 B 2.32

Calculated values
For the formation energy from raw total energies, the calculation gives 3.19 eV/f.u.

Below is a relaxed structure of CaBSb2, with properties calculated at the PBE level.

a = 7.2052 Å, b = 7.2052 Å, c = 7.4575 Å
α = 90.00°, β = 90.00°, γ = 90.00°
Closest atoms and distances in Å follow each position.
Space group I-42d (No. 122)
Inequivalent atoms, fractional coordinates:
Ca  0.0000  0.0000  0.0000 (multiplicity 4)  8 Sb 3.20-3.51
B  0.0000  0.0000  0.5000 (multiplicity 4)  4 Sb 2.32
Sb  0.1561  0.2500  0.6250 (multiplicity 8)  2 B 2.32

Calculated values
For the formation energy from raw total energies, the calculation gives -0.24 eV/f.u.

Below is a relaxed structure of Ca2ScBSb, with properties calculated at the PBE level.

a = 5.9375 Å, b = 5.9375 Å, c = 5.2987 Å
α = 90.00°, β = 90.00°, γ = 90.00°
Closest atoms and distances in Å follow each position.
Space group P4/mmm (No. 123)
Inequivalent atoms, fractional coordinates:
Ca  0.0000  0.5000  0.0000 (multiplicity 2)  2 Sc 2.97
Sc  0.0000  0.0000  0.0000 (multiplicity 1)  2 Sb 2.65
B  0.5000  0.5000  0.5000 (multiplicity 1)  8 Ca 3.98, 4 Sb 4.20
Sb  0.0000  0.0000  0.5000 (multiplicity 1)  2 Sc 2.65

Calculated values
For the formation energy from raw total energies, the calculation gives 6.08 eV/f.u.

Below is a relaxed structure of CaTc2BSb, with properties calculated at the PBE level.

a = 4.2605 Å, b = 4.2605 Å, c = 4.7025 Å
α = 90.00°, β = 90.00°, γ = 90.00°
Closest atoms and distances in Å follow each position.
Space group P4/mmm (No. 123)
Inequivalent atoms, fractional coordinates:
Ca  0.0000  0.0000  0.0000 (multiplicity 1)  2 B 2.35
Tc  0.0000  0.5000  0.5000 (multiplicity 2)  2 B 2.13
B  0.0000  0.0000  0.5000 (multiplicity 1)  4 Tc 2.13, 2 Ca 2.35
Sb  0.5000  0.5000  0.0000 (multiplicity 1)  4 Ca 3.01, 8 Tc 3.17

Calculated values
For the formation energy from raw total energies, the calculation gives 0.97 eV/f.u.

Below is a relaxed structure of CaTi2BSb, with properties calculated at the PBE level.

a = 4.4196 Å, b = 4.4196 Å, c = 5.1320 Å
α = 90.00°, β = 90.00°, γ = 90.00°
Closest atoms and distances in Å follow each position.
Space group P4/mmm (No. 123)
Inequivalent atoms, fractional coordinates:
Ca  0.0000  0.0000  0.0000 (multiplicity 1)  4 Sb 3.13, 8 Ti 3.39
Ti  0.0000  0.5000  0.5000 (multiplicity 2)  2 B 2.21
B  0.5000  0.5000  0.5000 (multiplicity 1)  4 Ti 2.21
Sb  0.5000  0.5000  0.0000 (multiplicity 1)  2 B 2.57

Calculated values
For the formation energy from raw total energies, the calculation gives 0.46 eV/f.u.

Below is a relaxed structure of Ca2TiBSb, with properties calculated at the PBE level.

a = 5.1038 Å, b = 5.1038 Å, c = 4.6754 Å
α = 90.00°, β = 90.00°, γ = 90.00°
Closest atoms and distances in Å follow each position.
Space group P4/mmm (No. 123)
Inequivalent atoms, fractional coordinates:
Ca  0.0000  0.5000  0.0000 (multiplicity 2)  2 B 2.55
Ti  0.0000  0.0000  0.5000 (multiplicity 1)  8 Ca 3.46, 4 Sb 3.61
B  0.5000  0.5000  0.0000 (multiplicity 1)  2 Sb 2.34, 4 Ca 2.55
Sb  0.5000  0.5000  0.5000 (multiplicity 1)  2 B 2.34

Calculated values
For the formation energy from raw total energies, the calculation gives 2.97 eV/f.u.

Below is a relaxed structure of CaSc2B2, with properties calculated at the PBE level.

a = 4.3896 Å, b = 4.3896 Å, c = 10.1157 Å
α = 90.00°, β = 90.00°, γ = 90.00°
Closest atoms and distances in Å follow each position.
Space group I4/mmm (No. 139)
Inequivalent atoms, fractional coordinates:
Ca  0.0000  0.0000  0.0000 (multiplicity 2)  10 Sc 3.34-3.55, 8 B 3.35
Sc  0.0000  0.0000  0.3305 (multiplicity 4)  4 B 2.34
B  0.0000  0.5000  0.2500 (multiplicity 4)  4 Sc 2.34

Calculated values
The value obtained for the excess energy over the best structure of this formula in the dataset is 0.0 meV per atom.

Below is a relaxed structure of CaSc2B2, with properties calculated at the PBE level.

a = 7.3971 Å, b = 7.3971 Å, c = 2.8852 Å
α = 90.00°, β = 90.00°, γ = 90.00°
Closest atoms and distances in Å follow each position.
Space group P4/mbm (No. 127)
Inequivalent atoms, fractional coordinates:
Ca  0.0000  0.0000  0.0000 (multiplicity 2)  2 Ca 2.89, 4 Sc 2.90, 8 B 3.09
Sc  0.1305  0.3695  0.0000 (multiplicity 4)  6 B 2.52-2.68, 1 Sc 2.73
B  0.1726  0.6726  0.5000 (multiplicity 4)  6 Sc 2.52-2.68

Calculated values
The value obtained for the excess energy over the best structure of this formula in the dataset is 33.3 meV per atom.

| no. | volume (Å³ per atom) |
| --- | --- |
| 1 | 30.1 |
| 2 | 25.7 |
| 3 | 24.0 |
| 4 | 27.4 |
| 5 | 18.3 |
| 6 | 24.2 |
| 7 | 37.4 |
| 8 | 17.1 |
| 9 | 20.0 |
| 10 | 24.4 |
| 11 | 19.5 |
| 12 | 15.8 |